[1]
Tm2InSi2Rh5: optimized geometry, PBE-GGA.

Summary:
**Crystal system**: tetragonal
**Formation energy without anion corrections**: -945 kJ/mol of formula units
**V**: 333.4 Å³ per cell

```
data_Tm2InSi2Rh5
_chemical_formula_sum 'Tm4 In2 Si4 Rh10'
_space_group_name_H-M_alt 'P 4/m b m'
_space_group_IT_number 127
_space_group_name_Hall '-P 4 2ab'
_cell_length_a 9.7475
_cell_length_b 9.7475
_cell_length_c 3.5086
_cell_angle_alpha 90.00
_cell_angle_beta 90.00
_cell_angle_gamma 90.00
loop_
_atom_site_label
_atom_site_fract_x
_atom_site_fract_y
_atom_site_fract_z
Tm1 0.1752 0.3248 0.0000
In1 0.0000 0.0000 0.0000
Si1 0.1223 0.6223 0.0000
Rh1 0.0000 0.5000 0.5000
Rh2 0.0701 0.7832 0.5000
```

=====

[2]
TmInSi2Rh5: optimized geometry, PBE-GGA.

Summary:
**Crystal system**: tetragonal
**Formation energy without anion corrections**: -523 kJ/mol of formula units
**V**: 146.6 Å³ per cell

```
data_TmInSi2Rh5
_chemical_formula_sum 'Tm1 In1 Si2 Rh5'
_space_group_name_H-M_alt 'P 4/m m m'
_space_group_IT_number 123
_space_group_name_Hall '-P 4 2'
_cell_length_a 4.1752
_cell_length_b 4.1752
_cell_length_c 8.4123
_cell_angle_alpha 90.00
_cell_angle_beta 90.00
_cell_angle_gamma 90.00
loop_
_atom_site_label
_atom_site_fract_x
_atom_site_fract_y
_atom_site_fract_z
Tm1 0.0000 0.0000 0.0000
In1 0.0000 0.0000 0.5000
Si1 0.5000 0.5000 0.3619
Rh1 0.0000 0.5000 0.2412
Rh2 0.5000 0.5000 0.0000
```

=====

[3]
Sm5In2Rh2: optimized geometry, PBE-GGA.

Summary:
**Crystal system**: orthorhombic
**V**: 985.2 Å³ per cell
**Formation enthalpy at 0 K**: -4.7 eV per formula unit

```
data_Sm5In2Rh2
_chemical_formula_sum 'Sm20 In8 Rh8'
_space_group_name_H-M_alt 'C m c e'
_space_group_IT_number 64
_space_group_name_Hall '-C 2ac 2'
_cell_length_a 15.9937
_cell_length_b 7.2105
_cell_length_c 8.5430
_cell_angle_alpha 90.00
_cell_angle_beta 90.00
_cell_angle_gamma 90.00
loop_
_atom_site_label
_atom_site_fract_x
_atom_site_fract_y
_atom_site_fract_z
Sm1 0.0000 0.0000 0.0000
Sm2 0.1201 0.1596 0.3192
In1 0.2150 0.0000 0.0000
Rh1 0.0000 0.1318 0.6232
```

=====

[4]
SmInRh: optimized geometry, PBE-GGA.

Summary:
**Crystal system**: tetragonal
**V**: 132.6 Å³ per cell
**Formation enthalpy at 0 K**: -1.6 eV per formula unit

```
data_SmInRh
_chemical_formula_sum 'Sm2 In2 Rh2'
_space_group_name_H-M_alt 'I 4 m m'
_space_group_IT_number 107
_space_group_name_Hall 'I 4 -2'
_cell_length_a 3.4237
_cell_length_b 3.4237
_cell_length_c 11.3110
_cell_angle_alpha 90.00
_cell_angle_beta 90.00
_cell_angle_gamma 90.00
loop_
_atom_site_label
_atom_site_fract_x
_atom_site_fract_y
_atom_site_fract_z
Sm1 0.0000 0.0000 0.0000
In1 0.0000 0.0000 0.7128
Rh1 0.0000 0.0000 0.3433
```

=====

[5]
Sm3In2Rh: optimized geometry, PBE-GGA.

Summary:
**Crystal system**: monoclinic
**V**: 685.1 Å³ per cell
**Formation enthalpy at 0 K**: -2.6 eV per formula unit

```
data_Sm3In2Rh
_chemical_formula_sum 'Sm12 In8 Rh4'
_space_group_name_H-M_alt 'C 1 2/m 1'
_space_group_IT_number 12
_cell_length_a 7.9111
_cell_length_b 10.9260
_cell_length_c 8.0390
_cell_angle_alpha 90.00
_cell_angle_beta 99.63
_cell_angle_gamma 90.00
loop_
_space_group_symop_operation_xyz
'x,y,z'
'-x,-y,-z'
'-x,y,-z'
'x,-y,z'
'x+1/2,y+1/2,z'
'-x+1/2,-y+1/2,-z'
'-x+1/2,y+1/2,-z'
'x+1/2,-y+1/2,z'
loop_
_atom_site_label
_atom_site_fract_x
_atom_site_fract_y
_atom_site_fract_z
Sm1 0.1740 0.0000 0.1720
Sm2 0.2218 0.1794 0.7678
In1 0.0000 0.0000 0.5000
In2 0.0000 0.3685 0.5000
In3 0.0000 0.5000 0.0000
Rh1 0.0000 0.2172 0.0000
```

=====

[6]
Sm2InRh2: optimized geometry, PBE-GGA.

Summary:
**Crystal system**: monoclinic
**V**: 450.7 Å³ per cell
**Formation enthalpy at 0 K**: -3.6 eV per formula unit

```
data_Sm2InRh2
_chemical_formula_sum 'Sm8 In4 Rh8'
_space_group_name_H-M_alt 'C 1 2/c 1'
_space_group_IT_number 15
_cell_length_a 10.3359
_cell_length_b 5.5876
_cell_length_c 8.1558
_cell_angle_alpha 90.00
_cell_angle_beta 106.91
_cell_angle_gamma 90.00
loop_
_space_group_symop_operation_xyz
'x,y,z'
'-x,-y,-z'
'-x,y,-z+1/2'
'x,-y,z+1/2'
'x+1/2,y+1/2,z'
'-x+1/2,-y+1/2,-z'
'-x+1/2,y+1/2,-z+1/2'
'x+1/2,-y+1/2,z+1/2'
loop_
_atom_site_label
_atom_site_fract_x
_atom_site_fract_y
_atom_site_fract_z
Sm1 0.1462 0.1583 0.1493
In1 0.0000 0.3401 0.7500
Rh1 0.1387 0.3550 0.5091
```

=====

[7]
SmIn5Rh6: optimized geometry, PBE-GGA.

Summary:
**Crystal system**: monoclinic
**V**: 211.2 Å³ per cell
**Formation enthalpy at 0 K**: -6.2 eV per formula unit

```
data_SmIn5Rh6
_chemical_formula_sum 'Sm1 In5 Rh6'
_space_group_name_H-M_alt 'P 1 2/m 1'
_space_group_IT_number 10
_cell_length_a 4.5679
_cell_length_b 6.7479
_cell_length_c 7.2193
_cell_angle_alpha 90.00
_cell_angle_beta 108.35
_cell_angle_gamma 90.00
loop_
_space_group_symop_operation_xyz
'x,y,z'
'-x,-y,-z'
'-x,y,-z'
'x,-y,z'
loop_
_atom_site_label
_atom_site_fract_x
_atom_site_fract_y
_atom_site_fract_z
Sm1 0.0000 0.0000 0.0000
In1 0.0000 0.5000 0.0000
In2 0.3333 0.0000 0.6665
In3 0.3341 0.5000 0.6685
Rh1 0.1712 0.2563 0.3422
Rh2 0.5000 0.2647 0.0000
```

=====

[8]
SmIn2Rh2: optimized geometry, PBE-GGA.

Summary:
**Crystal system**: monoclinic
**V**: 214.2 Å³ per cell
**Formation enthalpy at 0 K**: -2.7 eV per formula unit

```
data_SmIn2Rh2
_chemical_formula_sum 'Sm2 In4 Rh4'
_space_group_name_H-M_alt 'P 1 21/m 1'
_space_group_IT_number 11
_cell_length_a 5.2189
_cell_length_b 4.6927
_cell_length_c 9.0421
_cell_angle_alpha 90.00
_cell_angle_beta 104.66
_cell_angle_gamma 90.00
loop_
_space_group_symop_operation_xyz
'x,y,z'
'-x,-y,-z'
'-x,y+1/2,-z'
'x,-y+1/2,z'
loop_
_atom_site_label
_atom_site_fract_x
_atom_site_fract_y
_atom_site_fract_z
Sm1 0.1822 0.2500 0.2732
In1 0.2515 0.2500 0.6392
In2 0.3497 0.7500 0.0264
Rh1 0.1152 0.2500 0.9110
Rh2 0.3026 0.7500 0.4799
```

=====

[9]
SmIn4Rh2: optimized geometry, PBE-GGA.

Summary:
**Crystal system**: orthorhombic
**V**: 601.2 Å³ per cell
**Formation enthalpy at 0 K**: -3.4 eV per formula unit

```
data_SmIn4Rh2
_chemical_formula_sum 'Sm4 In16 Rh8'
_space_group_name_H-M_alt 'P n m a'
_space_group_IT_number 62
_cell_length_a 18.4683
_cell_length_b 4.5284
_cell_length_c 7.1884
_cell_angle_alpha 90.00
_cell_angle_beta 90.00
_cell_angle_gamma 90.00
loop_
_space_group_symop_operation_xyz
'x,y,z'
'-x,-y,-z'
'-x+1/2,-y,z+1/2'
'x+1/2,y,-z+1/2'
'x+1/2,-y+1/2,-z+1/2'
'-x+1/2,y+1/2,z+1/2'
'-x,y+1/2,-z'
'x,-y+1/2,z'
loop_
_atom_site_label
_atom_site_fract_x
_atom_site_fract_y
_atom_site_fract_z
Sm1 0.1401 0.2500 0.0331
In1 0.0344 0.7500 0.8533
In2 0.0702 0.2500 0.4995
In3 0.1862 0.7500 0.3291
In4 0.1922 0.7500 0.7422
Rh1 0.0405 0.7500 0.2447
Rh2 0.2171 0.2500 0.5388
```

=====

[10]
Sm3In3Rh2: optimized geometry, PBE-GGA.

Summary:
**Crystal system**: monoclinic
**V**: 396.1 Å³ per cell
**Formation enthalpy at 0 K**: -4.9 eV per formula unit

```
data_Sm3In3Rh2
_chemical_formula_sum 'Sm6 In6 Rh4'
_space_group_name_H-M_alt 'C 1 2/m 1'
_space_group_IT_number 12
_cell_length_a 16.5248
_cell_length_b 4.7011
_cell_length_c 5.1931
_cell_angle_alpha 90.00
_cell_angle_beta 100.91
_cell_angle_gamma 90.00
loop_
_space_group_symop_operation_xyz
'x,y,z'
'-x,-y,-z'
'-x,y,-z'
'x,-y,z'
'x+1/2,y+1/2,z'
'-x+1/2,-y+1/2,-z'
'-x+1/2,y+1/2,-z'
'x+1/2,-y+1/2,z'
loop_
_atom_site_label
_atom_site_fract_x
_atom_site_fract_y
_atom_site_fract_z
Sm1 0.0000 0.0000 0.0000
Sm2 0.1675 0.0000 0.5922
In1 0.0000 0.5000 0.5000
In2 0.1344 0.5000 0.0731
Rh1 0.2170 0.0000 0.1236
```

=====

[11]
Sm3In3Rh2: optimized geometry, PBE-GGA.

Summary:
**Crystal system**: orthorhombic
**V**: 776.4 Å³ per cell
**Formation enthalpy at 0 K**: -4.8 eV per formula unit

```
data_Sm3In3Rh2
_chemical_formula_sum 'Sm12 In12 Rh8'
_space_group_name_H-M_alt 'P n m a'
_space_group_IT_number 62
_cell_length_a 8.0552
_cell_length_b 16.7278
_cell_length_c 5.7621
_cell_angle_alpha 90.00
_cell_angle_beta 90.00
_cell_angle_gamma 90.00
loop_
_space_group_symop_operation_xyz
'x,y,z'
'-x,-y,-z'
'-x+1/2,-y,z+1/2'
'x+1/2,y,-z+1/2'
'x+1/2,-y+1/2,-z+1/2'
'-x+1/2,y+1/2,z+1/2'
'-x,y+1/2,-z'
'x,-y+1/2,z'
loop_
_atom_site_label
_atom_site_fract_x
_atom_site_fract_y
_atom_site_fract_z
Sm1 0.0344 0.1099 0.1030
Sm2 0.1579 0.2500 0.6446
In1 0.1762 0.0318 0.5982
In2 0.1775 0.7500 0.6473
Rh1 0.1122 0.6185 0.3730
```

=====

[12]
Sm5InRh: optimized geometry, PBE-GGA.

Summary:
**Crystal system**: monoclinic
**V**: 826.1 Å³ per cell
**Formation enthalpy at 0 K**: -1.8 eV per formula unit

```
data_Sm5InRh
_chemical_formula_sum 'Sm20 In4 Rh4'
_space_group_name_H-M_alt 'C 1 2/c 1'
_space_group_IT_number 15
_cell_length_a 9.3398
_cell_length_b 7.7312
_cell_length_c 11.8908
_cell_angle_alpha 90.00
_cell_angle_beta 105.81
_cell_angle_gamma 90.00
loop_
_space_group_symop_operation_xyz
'x,y,z'
'-x,-y,-z'
'-x,y,-z+1/2'
'x,-y,z+1/2'
'x+1/2,y+1/2,z'
'-x+1/2,-y+1/2,-z'
'-x+1/2,y+1/2,-z+1/2'
'x+1/2,-y+1/2,z+1/2'
loop_
_atom_site_label
_atom_site_fract_x
_atom_site_fract_y
_atom_site_fract_z
Sm1 0.0000 0.0007 0.2500
Sm2 0.1216 0.3367 0.5592
Sm3 0.2489 0.1742 0.1257
In1 0.0000 0.4062 0.2500
Rh1 0.0000 0.0000 0.0000
```

=====

Which value of V does entry 1 give?
333.4 Å³ per cell